The following is a PBEsol calculation of a geometry-optimized ZnAg2 structure, from Alexandria.

a b c (Å): 10.289 2.848 6.626
angles (deg): 90.00 104.65 90.00
Space group Cm (No. 8)
Unique sites:
Zn  0.000  0.000  0.000 x2
Zn  0.174  0.500  0.337 x2
Ag  0.113  0.500  0.735 x2
Ag  0.281  0.000  0.068 x2
Ag  0.334  0.000  0.664 x2
Ag  0.459  0.500  0.387 x2

Properties
Calculated volume   15.65 A^3/atom
ΔE to the lowest computed polymorph   30 meV/atom
Energy relative to the elements   -0.0408 eV/atom
Magnetic moment   0.0000 μB/atom